(1)
VASP calculation (PBE-GGA) on crystalline SmAl6 at its relaxed geometry.

Results
Density: 2.9 g/cm3
Calculated formation energy: 302 kJ/mol of formula units
Crystal system: cubic

Lattice parameters (Å, degrees): 7.1228 7.1228 7.1228 90.00 90.00 90.00
Space group Im-3m (No. 229)
Unique sites:
Sm 0.0000 0.0000 0.0000 (multiplicity 2)
Al 0.0000 0.2500 0.5000 (multiplicity 12)

=====

(2)
VASP calculation (PBE-GGA) on crystalline SrAl2Si2 at its relaxed geometry.

Results
Density: 2.9 g/cm3
ΔE_f (raw): -279 meV per atom
Crystal system: hexagonal

Lattice parameters (Å, degrees): 4.2138 4.2138 14.7949 90.00 90.00 120.00
Space group P6_3/mmc (No. 194)
Unique sites:
Sr 0.0000 0.0000 0.2500 (multiplicity 2)
Al 0.3333 0.6667 0.0639 (multiplicity 4)
Si 0.3333 0.6667 0.6110 (multiplicity 4)

=====

(3)
VASP calculation (PBE-GGA) on crystalline TmInH8Ir2 at its relaxed geometry.

Results
Density: 10.3 g/cm3
Total energy: -106.6 eV for the cell shown
Crystal system: monoclinic

Lattice parameters (Å, degrees): 8.7579 4.2167 6.0906 90.00 104.52 90.00
Space group C2/m (No. 12)
Unique sites:
Tm 0.0000 0.0000 0.0000 (multiplicity 2)
In 0.0000 0.5000 0.5000 (multiplicity 2)
H 0.0860 0.5000 0.1034 (multiplicity 4)
H 0.1701 0.0000 0.3925 (multiplicity 4)
H 0.1766 0.2612 0.8235 (multiplicity 8)
Ir 0.2504 0.0000 0.6794 (multiplicity 4)

=====

(4)
VASP calculation (PBE-GGA) on crystalline Cr2IrW at its relaxed geometry.

Results
Density: 14.4 g/cm3
Calculated formation energy: 21 kJ/mol of formula units
Crystal system: tetragonal

Lattice parameters (Å, degrees): 3.7669 3.7669 7.8112 90.00 90.00 90.00
Space group I-4m2 (No. 119)
Unique sites:
Cr 0.0000 0.0000 0.0000 (multiplicity 2)
Cr 0.0000 0.5000 0.2500 (multiplicity 2)
Ir 0.0000 0.5000 0.7500 (multiplicity 2)
W 0.0000 0.0000 0.5000 (multiplicity 2)

=====

(5)
VASP calculation (PBE-GGA) on crystalline AlTc2Ir at its relaxed geometry.

Results
Density: 11.8 g/cm3
Calculated formation energy: -97 kJ/mol of formula units
Crystal system: monoclinic

Lattice parameters (Å, degrees): 8.9282 2.7737 4.7898 90.00 100.61 90.00
Space group Cm (No. 8)
Unique sites:
Al 0.0000 0.0000 0.0000 (multiplicity 2)
Tc 0.2425 0.0000 0.6901 (multiplicity 2)
Tc 0.4863 0.0000 0.5051 (multiplicity 2)
Ir 0.2470 0.5000 0.1800 (multiplicity 2)

=====

(6)
VASP calculation (PBE-GGA) on crystalline ZrCuPt3 at its relaxed geometry.

Results
Density: 14.3 g/cm3
Calculated formation energy: -216 kJ/mol of formula units
Energy above the most stable polymorph in this dataset: 4.84 kcal/mol of atoms
Crystal system: hexagonal

Lattice parameters (Å, degrees): 6.4222 6.4222 4.8048 90.00 90.00 120.00
Space group P6_3/mmc (No. 194)
Unique sites:
Zr 0.3333 0.6667 0.2500 (multiplicity 2)
Cu 0.0000 0.0000 0.0000 (multiplicity 2)
Pt 0.1958 0.3915 0.7500 (multiplicity 6)

=====

Question: Which of these has the highest density?
Answer: Cr2IrW

=====

Question: What is the density in the second record?
Answer: 2.9 g/cm3